First-principles (PBEsol) data for a geometry-optimized OsNClF2 structure, as listed in the Alexandria database.

Lattice parameters (Å, degrees): 4.025 4.025 3.787 90.00 90.00 90.00
Positions (direct):
Os (0.000, 0.000, 0.000)
N (0.000, 0.000, 0.500)
Cl (0.500, 0.500, 0.500)
F (0.000, 0.500, 0.000)
F (0.500, 0.000, 0.000)

Properties
space group = P4/mmm
E_form (uncorrected) = -0.206 eV/atom
size of the total moment = 0.0000 μB per atom